Entry 1:
This record from Alexandria via LeMat-Bulk describes crystalline SrScSe4 at its relaxed geometry. The functional is GGA-PBE.

- calculated total energy (eV/cell) = -22.97
- crystal system = cubic

Lattice parameters (Å, degrees): 5.952 5.952 5.952 60.00 60.00 60.00
Fractional coordinates of all 6 atoms:
Sr: 0.750 0.750 0.750
Sc: 0.000 0.000 0.000
Se: 0.877 0.374 0.374
Se: 0.374 0.374 0.877
Se: 0.374 0.877 0.374
Se: 0.374 0.374 0.374

=====

Entry 2:
This record from Alexandria via LeMat-Bulk describes crystalline LiCrSb3 at its relaxed geometry. The functional is GGA-PBE.

- crystal system = cubic
- excess energy over the best structure of this formula in the dataset (meV per atom) = 0

Lattice parameters (Å, degrees): 5.150 5.150 5.150 90.00 90.00 90.00
Fractional coordinates of all 5 atoms:
Sb: 0.000 0.500 0.000
Sb: 0.000 0.000 0.500
Sb: 0.500 0.000 0.000
Li: 0.500 0.500 0.500
Cr: 0.000 0.000 0.000

=====

Entry 3:
This record from Alexandria via LeMat-Bulk describes crystalline YMgTiPb2 at its relaxed geometry. The functional is GGA-PBE.

- calculated total energy (eV/cell) = -21.75
- crystal system = tetragonal

Lattice parameters (Å, degrees): 5.441 5.231 5.441 90.00 90.00 90.00
Fractional coordinates of all 5 atoms:
Pb: 0.000 0.000 0.500
Pb: 0.500 0.000 0.000
Y: 0.000 0.500 0.000
Mg: 0.500 0.500 0.500
Ti: 0.000 0.000 0.000

=====

Entry 4:
This record from Alexandria via LeMat-Bulk describes crystalline NaTeC2 at its relaxed geometry. The functional is GGA-PBE.

- calculated total energy (eV/cell) = -32.77
- crystal system = tetragonal

Lattice parameters (Å, degrees): 5.958 5.958 5.816 59.19 59.19 90.00
Fractional coordinates of all 8 atoms:
Na: 0.500 0.500 0.000
Na: 0.250 0.750 0.500
C: 0.685 0.125 0.250
C: 0.065 0.625 0.250
C: 0.375 0.315 0.750
C: 0.875 0.935 0.750
Te: 0.000 0.000 0.000
Te: 0.750 0.250 0.500

=====

Entry 5:
This record from Alexandria via LeMat-Bulk describes crystalline TaTe2Os at its relaxed geometry. The functional is GGA-PBE.

- crystal system = tetragonal
- excess energy over the best structure of this formula in the dataset (meV per atom) = 709

Lattice parameters (Å, degrees): 5.299 5.299 5.299 132.60 132.60 69.29
Fractional coordinates of all 4 atoms:
Os: 0.500 0.500 0.000
Ta: 0.750 0.250 0.500
Te: 0.000 0.000 0.000
Te: 0.250 0.750 0.500

=====

Entry 6:
This record from Alexandria via LeMat-Bulk describes crystalline BaTaHgGe2 at its relaxed geometry. The functional is GGA-PBE.

- calculated total energy (eV/cell) = -24.29
- crystal system = tetragonal

Lattice parameters (Å, degrees): 5.077 5.468 5.077 90.00 90.00 90.00
Fractional coordinates of all 5 atoms:
Ba: 0.500 0.500 0.500
Ge: 0.000 0.000 0.500
Ge: 0.500 0.000 0.000
Hg: 0.000 0.500 0.000
Ta: 0.000 0.000 0.000